This record from OQMD via LeMat-Bulk describes crystalline NdYTe at its relaxed geometry. The functional is PBE.

abc: 5.150 5.150 5.150
angles: 60.00 60.00 60.00
Atoms (fractional coordinates):
Y1 0.750 0.750 0.750
Te1 0.000 0.000 0.000
Nd1 0.250 0.250 0.250

Computed properties:
- Relative energy among the computed polymorphs: 0 meV per atom
- Total moment: 0.258 μB/atom